# 1
First-principles (PBE with a Hubbard U) data for a geometry-optimized HfMnN2F structure, as listed in the Alexandria database.

Properties
magnetization = 3.9 μB/cell
electronic total energy = -0.281 Ha/atom
energy above the lowest structure with this stoichiometry = 0.374 eV per atom

abc: 3.9206 3.9206 3.6505
angles: 90.00 90.00 90.00
Space group P4/mmm (No. 123)
Asymmetric unit:
Hf (0.0000, 0.0000, 0.0000) [1 per cell]
Mn (0.5000, 0.5000, 0.5000) [1 per cell]
N (0.0000, 0.5000, 0.5000) [2 per cell]
F (0.5000, 0.5000, 0.0000) [1 per cell]

=====

# 2
First-principles (PBE with a Hubbard U) data for a geometry-optimized NbV2BiO8 structure, as listed in the Alexandria database.

Properties
magnetization = 2.0 μB/cell
electronic total energy = -0.275 Ha/atom

abc: 5.7375 5.7375 6.4876
angles: 90.00 90.00 120.00
Space group P-3m1 (No. 164)
Asymmetric unit:
Nb (0.0000, 0.0000, 0.0000) [1 per cell]
V (0.3333, 0.6667, 0.2842) [2 per cell]
Bi (0.0000, 0.0000, 0.5000) [1 per cell]
O (0.1570, 0.3140, 0.1995) [6 per cell]
O (0.3333, 0.6667, 0.5417) [2 per cell]